A:
VASP calculation (PBE) on a relaxed LiTeF crystal.

Unit cell a=7.0267 b=6.4354 c=7.5747 alpha=59.55 beta=52.14 gamma=68.32
Fractional positions:
Li 0.3352 0.6648 0.5083
Li 0.6648 0.3352 0.4917
Li 0.7417 0.7583 0.9148
Li 0.7583 0.7417 0.5852
Te 0.0071 0.1268 0.7708
Te 0.1268 0.0071 0.0953
Te 0.1547 0.4792 0.1232
Te 0.4792 0.1547 0.2429
F 0.0056 0.6545 0.6595
F 0.5695 0.5905 0.5955
F 0.5905 0.5695 0.2444
F 0.6545 0.0056 0.6805

DOS at the Fermi energy ... 4.16 states/eV/cell
Symmetry ... Fdd2, No. 43
Mass density ... 4.4 g/cm³

=====

B:
VASP calculation (PBE) on a relaxed LiTeF crystal.

Unit cell a=3.1691 b=3.1691 c=7.6310 alpha=90.00 beta=90.00 gamma=120.00
Fractional positions:
Li 0.0000 0.0000 0.0000
Te 0.3333 0.6667 0.5000
F 0.6667 0.3333 0.0000

DOS at the Fermi energy ... 0.75 states/eV/cell
Symmetry ... P-6m2, No. 187
Mass density ... 3.8 g/cm³

=====

How far above the most stable structure does each one sit? In meV/atom: A 65; B 0.

=====

A:
VASP calculation (PBE) on a relaxed LiTiF2 crystal.

Unit cell a=5.6433 b=5.6433 c=5.6433 alpha=129.16 beta=129.16 gamma=74.76
Fractional positions:
Li 0.0000 0.0000 0.0000
Li 0.7500 0.2500 0.5000
Ti 0.2500 0.7500 0.5000
Ti 0.5000 0.5000 0.0000
F 0.0694 0.6250 0.9444
F 0.3750 0.3194 0.4444
F 0.6806 0.1250 0.0556
F 0.8750 0.9306 0.5556

DOS at the Fermi energy ... 8.02 states/eV/cell
Symmetry ... I-42d, No. 122
Mass density ... 2.9 g/cm³

=====

B:
VASP calculation (PBE) on a relaxed LiTiF2 crystal.

Unit cell a=6.3853 b=6.3853 c=6.3853 alpha=26.97 beta=26.97 gamma=26.97
Fractional positions:
Li 0.0000 0.0000 0.0000
Ti 0.5000 0.5000 0.5000
F 0.3929 0.3929 0.3929
F 0.6071 0.6071 0.6071

DOS at the Fermi energy ... 2.86 states/eV/cell
Symmetry ... R-3m, No. 166
Mass density ... 3.3 g/cm³

=====

C:
VASP calculation (PBE) on a relaxed LiTiF2 crystal.

Unit cell a=4.0419 b=4.0419 c=4.0419 alpha=60.00 beta=60.00 gamma=60.00
Fractional positions:
Li 0.0000 0.0000 0.0000
Ti 0.5000 0.5000 0.5000
F 0.2500 0.2500 0.2500
F 0.7500 0.7500 0.7500

DOS at the Fermi energy ... 2.00 states/eV/cell
Symmetry ... Fm-3m, No. 225
Mass density ... 3.3 g/cm³

=====

D:
VASP calculation (PBE) on a relaxed LiTiF2 crystal.

Unit cell a=7.0510 b=7.0510 c=7.0510 alpha=23.36 beta=23.36 gamma=23.36
Fractional positions:
Li 0.0000 0.0000 0.0000
Ti 0.5000 0.5000 0.5000
F 0.0937 0.0937 0.0937
F 0.9063 0.9063 0.9063

DOS at the Fermi energy ... 2.55 states/eV/cell
Symmetry ... R-3m, No. 166
Mass density ... 3.2 g/cm³

=====

How far above the most stable structure does each one sit? In meV/atom: A 399; B 0; C 789; D 410.

=====

A:
VASP calculation (PBE) on a relaxed Li3TiF6 crystal.

Unit cell a=5.5422 b=5.5422 c=5.5422 alpha=60.00 beta=60.00 gamma=60.00
Fractional positions:
Li 0.0000 0.0000 0.0000
Li 0.2500 0.2500 0.2500
Li 0.7500 0.7500 0.7500
Ti 0.5000 0.5000 0.5000
F 0.2497 0.2497 0.7503
F 0.2497 0.7503 0.2497
F 0.2497 0.7503 0.7503
F 0.7503 0.2497 0.2497
F 0.7503 0.2497 0.7503
F 0.7503 0.7503 0.2497

DOS at the Fermi energy ... 8.13 states/eV/cell
Symmetry ... Fm-3m, No. 225
Mass density ... 2.5 g/cm³

=====

B:
VASP calculation (PBE) on a relaxed Li3TiF6 crystal.

Unit cell a=6.0648 b=6.0648 c=6.0648 alpha=91.90 beta=91.90 gamma=91.90
Fractional positions:
Li 0.0551 0.7527 0.5600
Li 0.2473 0.4400 0.9449
Li 0.4400 0.9449 0.2473
Li 0.5600 0.0551 0.7527
Li 0.7527 0.5600 0.0551
Li 0.9449 0.2473 0.4400
Ti 0.0000 0.0000 0.0000
Ti 0.5000 0.5000 0.5000
F 0.0454 0.6914 0.8964
F 0.1036 0.9546 0.3086
F 0.1945 0.4181 0.5804
F 0.3086 0.1036 0.9546
F 0.4181 0.5804 0.1945
F 0.4196 0.8055 0.5819
F 0.5804 0.1945 0.4181
F 0.5819 0.4196 0.8055
F 0.6914 0.8964 0.0454
F 0.8055 0.5819 0.4196
F 0.8964 0.0454 0.6914
F 0.9546 0.3086 0.1036

DOS at the Fermi energy ... 12.01 states/eV/cell
Symmetry ... R-3, No. 148
Mass density ... 2.7 g/cm³

=====

How far above the most stable structure does each one sit? In meV/atom: A 198; B 0.

=====

A:
VASP calculation (PBE) on a relaxed LiTiF3 crystal.

Unit cell a=4.1231 b=4.1231 c=4.1231 alpha=90.00 beta=90.00 gamma=90.00
Fractional positions:
Li 0.0000 0.0000 0.0000
Ti 0.5000 0.5000 0.5000
F 0.0000 0.5000 0.5000
F 0.5000 0.0000 0.5000
F 0.5000 0.5000 0.0000

DOS at the Fermi energy ... 5.17 states/eV/cell
Symmetry ... Pm-3m, No. 221
Mass density ... 2.6 g/cm³

=====

B:
VASP calculation (PBE) on a relaxed LiTiF3 crystal.

Unit cell a=3.6924 b=3.6924 c=3.6924 alpha=90.00 beta=90.00 gamma=90.00
Fractional positions:
Li 0.0000 0.0000 0.0000
Ti 0.5000 0.5000 0.5000
F 0.0000 0.0000 0.5000
F 0.0000 0.5000 0.0000
F 0.5000 0.0000 0.0000

DOS at the Fermi energy ... 0.14 states/eV/cell
Symmetry ... Pm-3m, No. 221
Mass density ... 3.7 g/cm³

=====

How far above the most stable structure does each one sit? In meV/atom: A 0; B 179.

=====

A:
VASP calculation (PBE) on a relaxed LiTlF3 crystal.

Unit cell a=5.9799 b=5.9799 c=7.0355 alpha=90.00 beta=90.00 gamma=120.00
Fractional positions:
Li 0.0000 0.0000 0.2176
Li 0.0000 0.0000 0.7824
Tl 0.3333 0.6667 0.0000
Tl 0.6667 0.3333 0.0000
F 0.0000 0.3090 0.8224
F 0.0000 0.6910 0.1776
F 0.3090 0.0000 0.8224
F 0.3090 0.3090 0.1776
F 0.6910 0.0000 0.1776
F 0.6910 0.6910 0.8224

DOS at the Fermi energy ... 2.35 states/eV/cell
Symmetry ... P-31m, No. 162
Mass density ... 4.1 g/cm³

=====

B:
VASP calculation (PBE) on a relaxed LiTlF3 crystal.

Unit cell a=4.6506 b=4.6506 c=4.6506 alpha=90.00 beta=90.00 gamma=90.00
Fractional positions:
Li 0.0000 0.0000 0.0000
Tl 0.5000 0.5000 0.5000
F 0.0000 0.5000 0.5000
F 0.5000 0.0000 0.5000
F 0.5000 0.5000 0.0000

DOS at the Fermi energy ... 0.88 states/eV/cell
Symmetry ... Pm-3m, No. 221
Mass density ... 4.4 g/cm³

=====

How far above the most stable structure does each one sit? In meV/atom: A 0; B 277.

=====

A:
VASP calculation (PBE) on a relaxed LiTl2F crystal.

Unit cell a=6.2690 b=6.2690 c=6.2690 alpha=105.29 beta=105.29 gamma=118.21
Fractional positions:
Li 0.0000 0.0000 0.0000
Li 0.7500 0.2500 0.5000
Tl 0.1616 0.1250 0.5366
Tl 0.3750 0.8384 0.9634
Tl 0.5884 0.6250 0.4634
Tl 0.8750 0.4116 0.0366
F 0.2500 0.7500 0.5000
F 0.5000 0.5000 0.0000

DOS at the Fermi energy ... 2.89 states/eV/cell
Symmetry ... I-42d, No. 122
Mass density ... 7.7 g/cm³

=====

B:
VASP calculation (PBE) on a relaxed LiTl2F crystal.

Unit cell a=4.9665 b=4.9665 c=4.9665 alpha=60.00 beta=60.00 gamma=60.00
Fractional positions:
Li 0.0000 0.0000 0.0000
Tl 0.2500 0.2500 0.2500
Tl 0.7500 0.7500 0.7500
F 0.5000 0.5000 0.5000

DOS at the Fermi energy ... 2.30 states/eV/cell
Symmetry ... Fm-3m, No. 225
Mass density ... 8.3 g/cm³

=====

How far above the most stable structure does each one sit? In meV/atom: A 0; B 97.

=====

A:
VASP calculation (PBE) on a relaxed Li3TlF6 crystal.

Unit cell a=5.8450 b=5.8450 c=5.8450 alpha=60.00 beta=60.00 gamma=60.00
Fractional positions:
Li 0.0000 0.0000 0.0000
Li 0.2500 0.2500 0.2500
Li 0.7500 0.7500 0.7500
Tl 0.5000 0.5000 0.5000
F 0.2390 0.2390 0.7610
F 0.2390 0.7610 0.2390
F 0.2390 0.7610 0.7610
F 0.7610 0.2390 0.2390
F 0.7610 0.2390 0.7610
F 0.7610 0.7610 0.2390

DOS at the Fermi energy ... 0.00 states/eV/cell
Symmetry ... Fm-3m, No. 225
Mass density ... 4.0 g/cm³

=====

B:
VASP calculation (PBE) on a relaxed Li3TlF6 crystal.

Unit cell a=5.3273 b=5.3259 c=9.7952 alpha=90.00 beta=122.15 gamma=90.00
Fractional positions:
Li 0.0000 0.0000 0.0000
Li 0.0000 0.5000 0.5000
Li 0.2543 0.0161 0.7410
Li 0.2543 0.4839 0.2410
Li 0.7457 0.5161 0.7590
Li 0.7457 0.9839 0.2590
Tl 0.5000 0.0000 0.5000
Tl 0.5000 0.5000 0.0000
F 0.0744 0.1780 0.4294
F 0.0744 0.3220 0.9294
F 0.2396 0.6575 0.4105
F 0.2396 0.8425 0.9105
F 0.4050 0.1306 0.2587
F 0.4050 0.3694 0.7587
F 0.5950 0.6306 0.2413
F 0.5950 0.8694 0.7413
F 0.7604 0.1575 0.0895
F 0.7604 0.3425 0.5895
F 0.9256 0.6780 0.0706
F 0.9256 0.8220 0.5706

DOS at the Fermi energy ... 0.00 states/eV/cell
Symmetry ... P2_1/c, No. 14
Mass density ... 4.8 g/cm³

=====

C:
VASP calculation (PBE) on a relaxed Li3TlF6 crystal.

Unit cell a=6.1274 b=6.1274 c=3.5427 alpha=90.00 beta=90.00 gamma=113.71
Fractional positions:
Li 0.0000 0.0000 0.0000
Li 0.0000 0.5000 0.5000
Li 0.5000 0.0000 0.5000
Tl 0.5000 0.5000 0.0000
F 0.0876 0.3356 0.0000
F 0.3356 0.0876 0.0000
F 0.3556 0.6444 0.5000
F 0.6444 0.3556 0.5000
F 0.6644 0.9124 0.0000
F 0.9124 0.6644 0.0000

DOS at the Fermi energy ... 0.00 states/eV/cell
Symmetry ... Cmmm, No. 65
Mass density ... 4.6 g/cm³

=====

How far above the most stable structure does each one sit? In meV/atom: A 259; B 0; C 52.

=====

A:
VASP calculation (PBE) on a relaxed Li2TlF4 crystal.

Unit cell a=4.4326 b=4.4326 c=5.5356 alpha=90.00 beta=90.00 gamma=90.00
Fractional positions:
Li 0.0000 0.5000 0.0000
Li 0.5000 0.0000 0.0000
Tl 0.0000 0.0000 0.5000
F 0.2521 0.2521 0.8031
F 0.2521 0.7479 0.1969
F 0.7479 0.2521 0.1969
F 0.7479 0.7479 0.8031

DOS at the Fermi energy ... 2.78 states/eV/cell
Symmetry ... P-42m, No. 111
Mass density ... 4.5 g/cm³

=====

B:
VASP calculation (PBE) on a relaxed Li2TlF4 crystal.

Unit cell a=6.3495 b=6.3495 c=6.3495 alpha=102.33 beta=102.33 gamma=124.95
Fractional positions:
Li 0.3489 0.1920 0.3291
Li 0.8080 0.1371 0.1569
Li 0.8629 0.0198 0.6709
Li 0.9802 0.6511 0.8431
Tl 0.2500 0.7500 0.5000
Tl 0.5000 0.5000 0.0000
F 0.1020 0.4279 0.7918
F 0.1425 0.0006 0.7892
F 0.2114 0.3533 0.2108
F 0.5721 0.3639 0.6740
F 0.6361 0.3102 0.2082
F 0.6467 0.8575 0.8580
F 0.6898 0.8980 0.3260
F 0.9994 0.7886 0.1420

DOS at the Fermi energy ... 0.00 states/eV/cell
Symmetry ... I-4, No. 82
Mass density ... 5.3 g/cm³

=====

How far above the most stable structure does each one sit? In meV/atom: A 96; B 0.

=====

A:
VASP calculation (PBE) on a relaxed LiU2F8 crystal.

Unit cell a=7.1506 b=7.1506 c=5.3721 alpha=107.34 beta=107.34 gamma=32.49
Fractional positions:
Li 0.0000 0.0000 0.0000
U 0.3437 0.3437 0.3342
U 0.6563 0.6563 0.6658
F 0.0926 0.0926 0.7934
F 0.1768 0.1768 0.4106
F 0.2864 0.2864 0.8868
F 0.4754 0.4754 0.7182
F 0.5246 0.5246 0.2818
F 0.7136 0.7136 0.1132
F 0.8232 0.8232 0.5894
F 0.9074 0.9074 0.2066

DOS at the Fermi energy ... 17.43 states/eV/cell
Symmetry ... C2/m, No. 12
Mass density ... 7.5 g/cm³

=====

B:
VASP calculation (PBE) on a relaxed LiU2F8 crystal.

Unit cell a=6.8485 b=6.8485 c=5.6857 alpha=92.02 beta=92.02 gamma=41.68
Fractional positions:
Li 0.0000 0.0000 0.0000
U 0.1255 0.1255 0.5508
U 0.8745 0.8745 0.4492
F 0.1608 0.1608 0.9207
F 0.2246 0.7429 0.7185
F 0.2571 0.7754 0.2815
F 0.3033 0.3033 0.4551
F 0.6967 0.6967 0.5449
F 0.7429 0.2246 0.7185
F 0.7754 0.2571 0.2815
F 0.8392 0.8392 0.0793

DOS at the Fermi energy ... 9.17 states/eV/cell
Symmetry ... C2/m, No. 12
Mass density ... 6.0 g/cm³

=====

How far above the most stable structure does each one sit? In meV/atom: A 0; B 139.